1.
VASP calculation (PBE) on a geometry-optimized LiDy2Lu structure.

**ΔE_f**: 16.4 kJ/mol of atoms
**Total magnetization**: 0.00 μB per cell

```
data_LiDy2Lu
_symmetry_space_group_name_H-M 'P 1'
_symmetry_Int_Tables_number 1
_cell_length_a 12.206
_cell_length_b 12.206
_cell_length_c 12.206
_cell_angle_alpha 16.13
_cell_angle_beta 16.13
_cell_angle_gamma 16.13
loop_
_symmetry_equiv_pos_as_xyz
'x,y,z'
loop_
_atom_site_label
_atom_site_fract_x
_atom_site_fract_y
_atom_site_fract_z
Li1 0.000 0.000 0.000
Dy1 0.090 0.090 0.090
Dy2 0.910 0.910 0.910
Lu1 0.500 0.500 0.500
```

2.
VASP calculation (PBE) on a geometry-optimized CrTc2AgSe structure.

**Total magnetization**: 1.41 μB per cell
**ΔE_f (raw)**: 1.554 eV/atom

```
data_CrTc2AgSe
_symmetry_space_group_name_H-M 'P 1'
_symmetry_Int_Tables_number 1
_cell_length_a 4.551
_cell_length_b 4.551
_cell_length_c 4.720
_cell_angle_alpha 90.00
_cell_angle_beta 90.00
_cell_angle_gamma 90.00
loop_
_symmetry_equiv_pos_as_xyz
'x,y,z'
loop_
_atom_site_label
_atom_site_fract_x
_atom_site_fract_y
_atom_site_fract_z
Cr1 0.000 0.000 0.000
Tc1 0.000 0.500 0.500
Tc2 0.500 0.000 0.500
Ag1 0.500 0.500 0.000
Se1 0.500 0.500 0.500
```